! PmPuSc2S4 | Alexandria | PBE-GGA | relaxed; values from VASP
&SYSTEM
  ibrav = 0, nat = 8, ntyp = 4
/
ATOMIC_SPECIES
S 32.06 S.upf
Pu 244.00 Pu.upf
Pm 145.00 Pm.upf
Sc 44.96 Sc.upf
CELL_PARAMETERS angstrom
-1.0743 -2.8033 2.3573
5.2586 -3.5970 -1.8810
1.7087 3.7733 5.2660
ATOMIC_POSITIONS crystal
S 0.0000 0.2459 0.7286
S 0.5000 0.7390 0.7256
S 0.0000 0.7541 0.2714
S 0.5000 0.2610 0.2744
Pu 0.5000 0.5000 0.0000
Pm 0.0000 0.0000 0.0000
Sc 0.5000 0.0000 0.5000
Sc 0.0000 0.5000 0.5000
! Raw formation energy ... -1.885 eV/atom
! Space-group type ... P2/m, No. 10
! Magnetization ... 0.726 μB per atom
! Volume ... 20.078 Å³ per atom



! CuNi3S8 | Alexandria | PBE-GGA | relaxed; values from VASP
&SYSTEM
  ibrav = 0, nat = 12, ntyp = 3
/
ATOMIC_SPECIES
S 32.06 S.upf
Ni 58.69 Ni.upf
Cu 63.55 Cu.upf
CELL_PARAMETERS angstrom
-4.8463 2.6433 1.2882
-1.1200 -4.0159 3.8407
2.7483 3.0393 3.9170
ATOMIC_POSITIONS crystal
S 0.3942 0.3942 0.3942
S 0.1092 0.8912 0.4045
S 0.8908 0.1088 0.5955
S 0.4045 0.1092 0.8912
S 0.1088 0.5955 0.8908
S 0.8912 0.4045 0.1092
S 0.5955 0.8908 0.1088
S 0.6058 0.6058 0.6058
Ni 0.0000 0.5000 0.5000
Ni 0.5000 0.5000 0.0000
Ni 0.5000 0.0000 0.5000
Cu 0.0000 0.0000 0.0000
! Raw formation energy ... -0.205 eV/atom
! Space-group type ... R-3, No. 148
! Magnetization ... 0.091 μB per atom
! Volume ... 15.178 Å³ per atom



! AcLa5Cd | Alexandria | PBE-GGA | relaxed; values from VASP
&SYSTEM
  ibrav = 0, nat = 14, ntyp = 3
/
ATOMIC_SPECIES
Cd 112.41 Cd.upf
La 138.91 La.upf
Ac 227.00 Ac.upf
CELL_PARAMETERS angstrom
-6.1950 -4.0073 -3.5818
-6.2257 -4.1526 3.3560
-12.1147 3.8839 0.0276
ATOMIC_POSITIONS crystal
Cd 0.0000 0.0000 0.0000
Cd 0.0000 0.0000 0.5000
La 0.6695 0.6672 0.8747
La 0.2447 0.7553 0.2500
La 0.6672 0.6695 0.3747
La 0.3305 0.3328 0.1253
La 0.2487 0.2249 0.9477
La 0.7751 0.7513 0.5523
La 0.2249 0.2487 0.4477
La 0.3328 0.3305 0.6253
La 0.7513 0.7751 0.0523
La 0.7553 0.2447 0.7500
Ac 0.2409 0.7591 0.7500
Ac 0.7591 0.2409 0.2500
! Energy above the lowest structure with this stoichiometry ... 36 meV per atom
! Space-group type ... C2/c, No. 15
! Magnetization ... 0.000 μB per atom
! Energy of formation from the pure elements ... 0.057 eV/atom
! Volume ... 36.464 Å³ per atom



! SrMg4P | Alexandria | PBE-GGA | relaxed; values from VASP
&SYSTEM
  ibrav = 0, nat = 6, ntyp = 3
/
ATOMIC_SPECIES
P 30.97 P.upf
Sr 87.62 Sr.upf
Mg 24.30 Mg.upf
CELL_PARAMETERS angstrom
-3.9164 -4.5333 0.5813
-5.7291 0.7370 -1.6913
-2.0813 -2.8247 -4.8904
ATOMIC_POSITIONS crystal
P 0.7500 0.7500 0.7500
Sr 0.0000 0.0000 0.0000
Mg 0.8709 0.3764 0.3764
Mg 0.3764 0.8709 0.3764
Mg 0.3764 0.3764 0.8709
Mg 0.3764 0.3764 0.3764
! Space-group type ... F-43m, No. 216
! Magnetization ... 0.000 μB per atom
! Energy of formation from the pure elements ... 0.137 eV/atom
! Volume ... 25.696 Å³ per atom



! InTcO3 | Alexandria | PBE-GGA | relaxed; values from VASP
&SYSTEM
  ibrav = 0, nat = 5, ntyp = 3
/
ATOMIC_SPECIES
In 114.82 In.upf
O 16.00 O.upf
Tc 98.00 Tc.upf
CELL_PARAMETERS angstrom
4.0855 0.0000 0.0000
0.0000 4.0855 0.0000
0.0000 0.0000 4.0855
ATOMIC_POSITIONS crystal
In 0.0000 0.0000 0.0000
O 0.0000 0.5000 0.0000
O 0.5000 0.0000 0.0000
O 0.0000 0.0000 0.5000
Tc 0.5000 0.5000 0.5000
! Raw formation energy ... -0.011 eV/atom
! Space-group type ... Pm-3m, No. 221
! Magnetization ... 0.856 μB per atom
! Volume ... 13.639 Å³ per atom



! Sc2Zn4Ag3 | Alexandria | PBE-GGA | relaxed; values from VASP
&SYSTEM
  ibrav = 0, nat = 9, ntyp = 3
/
ATOMIC_SPECIES
Zn 65.41 Zn.upf
Ag 107.87 Ag.upf
Sc 44.96 Sc.upf
CELL_PARAMETERS angstrom
-3.7914 -2.2846 1.1738
-0.5116 -4.3787 -1.2420
3.7360 -2.4885 7.2254
ATOMIC_POSITIONS crystal
Zn 0.6665 0.6668 0.8997
Zn 0.9997 0.0002 0.6515
Zn 0.3335 0.3332 0.1003
Zn 0.0003 0.9998 0.3485
Ag 0.6665 0.6667 0.5791
Ag 0.0000 0.0000 0.0000
Ag 0.3335 0.3333 0.4209
Sc 0.3331 0.3335 0.7738
Sc 0.6669 0.6665 0.2262
! Space-group type ... P-3m1, No. 164
! Magnetization ... 0.000 μB per atom
! Energy of formation from the pure elements ... -0.231 eV/atom
! Volume ... 17.169 Å³ per atom



! AsH2PdN | Alexandria | PBE-GGA | relaxed; values from VASP
&SYSTEM
  ibrav = 0, nat = 5, ntyp = 4
/
ATOMIC_SPECIES
As 74.92 As.upf
H 1.01 H.upf
N 14.01 N.upf
Pd 106.42 Pd.upf
CELL_PARAMETERS angstrom
-1.6569 -1.9345 -2.1927
3.9105 -2.4192 -0.8206
-0.7958 -2.1268 2.4777
ATOMIC_POSITIONS crystal
As 0.0000 0.5000 0.0000
H 0.5000 0.0000 0.0000
H 0.0000 0.0000 0.5000
N 0.0000 0.0000 0.0000
Pd 0.5000 0.5000 0.5000
! Space-group type ... P4/mmm, No. 123
! Magnetization ... 0.000 μB per atom
! Volume ... 10.552 Å³ per atom
! Total energy ... -0.152 Ha/atom